The following is a DFT calculation (GGA-PBE) of a relaxed LaCeGaTc crystal.

Summary:
ΔH_f (0 K) (eV per atom): -0.13
V (Å³/cell): 375
SG: F-43m (216)

abc: 7.2110 7.2110 7.2110
angles: 90.00 90.00 90.00
Sites, in units of the cell vectors:
La1 0.0000 0.0000 0.0000
La2 0.0000 0.5000 0.5000
La3 0.5000 0.0000 0.5000
La4 0.5000 0.5000 0.0000
Ce1 0.0000 0.0000 0.5000
Ce2 0.0000 0.5000 0.0000
Ce3 0.5000 0.0000 0.0000
Ce4 0.5000 0.5000 0.5000
Ga1 0.2500 0.2500 0.7500
Ga2 0.2500 0.7500 0.2500
Ga3 0.7500 0.2500 0.2500
Ga4 0.7500 0.7500 0.7500
Tc1 0.2500 0.2500 0.2500
Tc2 0.2500 0.7500 0.7500
Tc3 0.7500 0.2500 0.7500
Tc4 0.7500 0.7500 0.2500